BaRe2Si: relaxed, PBE.

Properties
Formation energy without anion corrections (meV/atom): 839

a b c (Å): 9.741 9.741 9.741
angles (deg): 17.75 17.75 17.75
Atoms (fractional coordinates):
1 Si 0.250 0.250 0.250
2 Re 0.520 0.520 0.520
3 Re 0.980 0.980 0.980
4 Ba 0.750 0.750 0.750